No. 1
Al2TeAu after structural relaxation, computed with GGA-PBEsol.

```
Al2TeAu
1.0
3.106 0.000 0.000
0.000 3.106 0.000
0.000 0.000 8.259
Al Te Au
2 1 1
Direct
0.000 0.000 0.000
0.500 0.500 0.223
0.500 0.500 0.727
0.000 0.000 0.402
```

Properties
ρ	7.9	g/cm3
ΔE_f (raw)	0.041	eV/atom

***

No. 2
AlTeAu2 after structural relaxation, computed with GGA-PBEsol.

```
AlTeAu2
1.0
3.185 0.000 0.000
0.000 4.139 0.000
0.000 0.000 12.351
Al Te Au
2 2 4
Direct
0.000 0.000 0.000
0.500 0.500 0.500
0.000 0.500 0.297
0.500 0.000 0.797
0.000 0.000 0.511
0.000 0.500 0.671
0.500 0.000 0.171
0.500 0.500 0.011
```

Properties
energy above the lowest structure with this stoichiometry	0	meV per atom
ρ	11.2	g/cm3
ΔE_f (raw)	-0.085	eV/atom

***

No. 3
AlTe2Au after structural relaxation, computed with GGA-PBEsol.

```
AlTe2Au
1.0
4.319 0.000 0.000
0.000 4.187 0.000
-0.320 0.000 5.942
Al Te Au
1 2 1
Direct
0.000 0.000 0.000
0.082 0.500 0.710
0.476 0.000 0.299
0.639 0.500 0.023
```

Properties
ρ	7.4	g/cm3
ΔE_f (raw)	-0.230	eV/atom

***

No. 4
Al2TeAu after structural relaxation, computed with GGA-PBEsol.

```
Al2TeAu
1.0
4.720 0.000 0.000
0.000 4.720 0.000
0.000 0.000 3.558
Al Te Au
2 1 1
Direct
0.000 0.500 0.000
0.500 0.000 0.000
0.000 0.000 0.500
0.500 0.500 0.500
```

Properties
ρ	7.9	g/cm3
ΔE_f (raw)	0.089	eV/atom

***

No. 5
AlTe2Au after structural relaxation, computed with GGA-PBEsol.

```
AlTe2Au
1.0
7.076 0.000 0.000
0.000 9.581 0.000
0.000 0.000 6.591
Al Te Au
4 8 4
Direct
0.000 0.000 0.250
0.000 0.000 0.750
0.500 0.500 0.250
0.500 0.500 0.750
0.202 0.158 0.000
0.202 0.842 0.500
0.298 0.342 0.500
0.298 0.658 0.000
0.702 0.342 0.000
0.702 0.658 0.500
0.798 0.158 0.500
0.798 0.842 0.000
0.000 0.500 0.000
0.000 0.500 0.500
0.500 0.000 0.000
0.500 0.000 0.500
```

Properties
ρ	7.1	g/cm3
ΔE_f (raw)	-0.237	eV/atom

***

No. 6
TiAlAu after structural relaxation, computed with GGA-PBEsol.

```
TiAlAu
1.0
4.417 0.000 0.000
-2.209 3.826 0.000
0.000 0.000 5.626
Ti Al Au
2 2 2
Direct
0.000 0.000 0.000
0.000 0.000 0.500
0.333 0.667 0.250
0.667 0.333 0.750
0.333 0.667 0.750
0.667 0.333 0.250
```

Properties
DFT formation energy	-1.61	eV per formula unit
ρ	9.5	g/cm3

***

No. 7
TiAl2Au2 after structural relaxation, computed with GGA-PBEsol.

```
TiAl2Au2
1.0
3.822 0.000 0.000
0.000 3.822 0.000
0.000 0.000 11.817
Ti Al Au
2 4 4
Direct
0.000 0.000 0.000
0.500 0.500 0.500
0.000 0.500 0.250
0.000 0.500 0.750
0.500 0.000 0.250
0.500 0.000 0.750
0.000 0.000 0.390
0.000 0.000 0.610
0.500 0.500 0.110
0.500 0.500 0.890
```

Properties
DFT formation energy	-1.38	eV per formula unit
ρ	9.5	g/cm3

***

No. 8
Al2TlAu after structural relaxation, computed with GGA-PBEsol.

```
Al2TlAu
1.0
5.961 0.000 0.000
0.000 8.019 0.000
0.000 0.000 3.190
Al Tl Au
4 2 2
Direct
0.250 0.250 0.000
0.250 0.750 0.000
0.750 0.250 0.000
0.750 0.750 0.000
0.000 0.000 0.500
0.500 0.500 0.500
0.000 0.500 0.500
0.500 0.000 0.500
```

Properties
energy above the lowest structure with this stoichiometry	60	meV per atom
DFT formation energy	0.54	eV per formula unit
ρ	9.9	g/cm3

***

No. 9
Al2TlAu after structural relaxation, computed with GGA-PBEsol.

```
Al2TlAu
1.0
2.882 0.000 0.000
0.000 5.568 0.000
0.000 0.000 10.018
Al Tl Au
4 2 2
Direct
0.000 0.000 0.224
0.000 0.000 0.776
0.500 0.500 0.276
0.500 0.500 0.724
0.000 0.500 0.000
0.500 0.000 0.500
0.000 0.500 0.500
0.500 0.000 0.000
```

Properties
energy above the lowest structure with this stoichiometry	0	meV per atom
DFT formation energy	0.30	eV per formula unit
ρ	9.4	g/cm3

***

No. 10
AlTlAu2 after structural relaxation, computed with GGA-PBEsol.

```
AlTlAu2
1.0
3.042 0.000 0.000
0.000 3.103 0.000
-1.210 0.000 8.136
Al Tl Au
1 1 2
Direct
0.000 0.000 0.000
0.000 0.000 0.500
0.429 0.500 0.808
0.571 0.500 0.192
```

Properties
energy above the lowest structure with this stoichiometry	0	meV per atom
DFT formation energy	-0.68	eV per formula unit
ρ	13.5	g/cm3

***

No. 11
AlTlAu2 after structural relaxation, computed with GGA-PBEsol.

```
AlTlAu2
1.0
3.257 0.000 0.000
-1.629 2.821 0.000
0.000 0.000 25.219
Al Tl Au
3 3 6
Direct
0.000 0.000 0.000
0.333 0.667 0.667
0.667 0.333 0.333
0.000 0.000 0.500
0.333 0.667 0.167
0.667 0.333 0.833
0.000 0.000 0.262
0.000 0.000 0.738
0.333 0.667 0.404
0.333 0.667 0.929
0.667 0.333 0.071
0.667 0.333 0.596
```

Properties
energy above the lowest structure with this stoichiometry	35	meV per atom
DFT formation energy	-0.54	eV per formula unit
ρ	13.4	g/cm3

***

No. 12
Al2TlAu2 after structural relaxation, computed with GGA-PBEsol.

```
Al2TlAu2
1.0
4.101 0.000 0.000
0.000 4.101 0.000
0.000 0.000 11.737
Al Tl Au
4 2 4
Direct
0.000 0.500 0.250
0.000 0.500 0.750
0.500 0.000 0.250
0.500 0.000 0.750
0.000 0.000 0.000
0.500 0.500 0.500
0.000 0.000 0.381
0.000 0.000 0.619
0.500 0.500 0.119
0.500 0.500 0.881
```

Properties
DFT formation energy	-1.12	eV per formula unit
ρ	11.0	g/cm3

***

No. 13
AlTlAu2 after structural relaxation, computed with GGA-PBEsol.

```
AlTlAu2
1.0
3.083 0.000 0.000
0.000 3.083 0.000
0.000 0.000 8.033
Al Tl Au
1 1 2
Direct
0.000 0.000 0.000
0.000 0.000 0.500
0.500 0.500 0.193
0.500 0.500 0.807
```

Properties
energy above the lowest structure with this stoichiometry	5	meV per atom
DFT formation energy	-0.66	eV per formula unit
ρ	13.6	g/cm3

***

No. 14
AlV9Au2 after structural relaxation, computed with GGA-PBEsol.

```
AlV9Au2
1.0
4.779 0.000 0.000
0.000 4.791 0.000
0.000 0.000 14.354
Al V Au
2 18 4
Direct
0.000 0.000 0.165
0.000 0.000 0.835
0.000 0.248 0.000
0.000 0.249 0.329
0.000 0.249 0.671
0.000 0.751 0.329
0.000 0.751 0.671
0.000 0.752 0.000
0.245 0.500 0.167
0.245 0.500 0.833
0.252 0.500 0.500
0.500 0.000 0.082
0.500 0.000 0.250
0.500 0.000 0.419
0.500 0.000 0.581
0.500 0.000 0.750
0.500 0.000 0.918
0.748 0.500 0.500
0.755 0.500 0.167
0.755 0.500 0.833
0.000 0.000 0.500
0.500 0.500 0.000
0.500 0.500 0.333
0.500 0.500 0.667
```

Properties
DFT formation energy	-1.41	eV per formula unit
ρ	8.9	g/cm3